Computed, not measured: a geometry-optimized AcAg3F9 structure at the PBE level of DFT.

extended XYZ file:
```
26
Lattice="-6.9715 0.9334 -4.5767 6.6583 -3.9377 -3.2528 -2.6651 -6.7266 2.6877" Properties=species:S:1:pos:R:3 pbc="T T T"
Ac -0.1981 -1.9004 -4.9525
Ac -1.4476 -4.4673 -1.5332
Ag 3.7885 -3.0086 -3.6390
Ag -5.4665 -3.4405 -2.8141
Ag -6.7768 -6.8188 -1.7544
Ag 2.4983 -6.1939 -2.0761
Ag -0.0454 -0.4354 -1.1347
Ag -1.6003 -5.9322 -5.3510
F -3.8867 -5.4743 0.9636
F 0.4529 -5.4064 -5.6460
F 1.1316 -2.1156 -0.5259
F -3.6543 -6.4654 -5.0753
F -2.1808 -6.7314 -0.6643
F -1.2113 -4.0442 -4.0601
F -0.7164 -2.2226 -2.4530
F -1.8479 -6.4636 -3.1063
F 0.6525 -5.7660 -1.2957
F -2.6362 -1.4547 -4.8492
F -3.5600 -3.2867 -2.0785
F -0.4127 -8.9545 -2.0603
F -2.2905 -2.7030 0.2868
F -1.5971 -9.3232 -4.5116
F -0.4332 -4.5860 0.9351
F -1.6356 -2.8496 -6.9940
F 2.3533 -4.3189 -2.9343
F -5.3315 -5.4120 -2.2075
```

Properties
Its symmetry is C222_1, No. 20. As for the volume: 18.10 A^3/atom. The value obtained for the raw formation energy is -1.954 eV/atom. The total moment comes out at 1.8 μB/cell.